Entry from the Alexandria database: an optimized crystal structure of Li8Cr3SbO12 (PBE with a Hubbard U).

**Symmetry**: No. 1
**Magnetization**: 7.0 μB/cell
**Theoretical density**: 4.009 Mg/m³
**Final energy**: -6.07 eV/atom

Cell: 5.033 5.049 8.564 Å, 89.60 90.62 89.20°
Last column: magnetic moment on the atom in μB.
Element x y z (fractional)
1 Li 0.499 0.996 0.923  0.00
2 Li 0.495 0.491 0.753  0.00
3 Li 0.501 0.497 0.066  0.00
4 Li 0.993 0.503 0.725  0.00
5 Li 0.008 0.505 0.423  0.00
6 Li 0.502 0.997 0.233  0.00
7 Li 0.000 0.996 0.259  0.00
8 Li 0.992 0.014 0.558  0.00
9 Cr 0.511 0.496 0.396  2.24
10 Cr 0.494 0.990 0.573  2.22
11 Cr 0.002 0.501 0.093  2.94
12 Sb 0.000 0.003 0.903  0.01
13 O 0.746 0.858 0.740  -0.02
14 O 0.777 0.832 0.071  -0.01
15 O 0.723 0.822 0.418  -0.04
16 O 0.293 0.679 0.565  -0.10
17 O 0.221 0.671 0.917  -0.03
18 O 0.259 0.647 0.251  -0.08
19 O 0.747 0.350 0.249  -0.06
20 O 0.776 0.333 0.917  -0.03
21 O 0.708 0.324 0.567  -0.06
22 O 0.283 0.173 0.421  -0.07
23 O 0.226 0.169 0.072  -0.01
24 O 0.241 0.152 0.740  -0.01